## MgSi (PBE-GGA)

Data for crystalline MgSi at its relaxed geometry.

Output
Space-group type ... P-1
E_form (uncorrected) ... 0.00 eV per atom
Final energy ... -3.51 eV/atom
Density of states at the Fermi level ... 3.136 states/eV per cell

Geometry as POSCAR:
```
MgSi
1.0
5.5596 0.0000 0.0000
2.2467 5.2732 0.0000
1.4456 1.2461 7.7472
Mg Si
6 6
direct
0.0806 0.3415 0.1912
0.2661 0.2737 0.5477
0.4160 0.7404 0.1423
0.5840 0.2596 0.8577
0.7339 0.7263 0.4523
0.9194 0.6585 0.8088
0.1245 0.1247 0.9031
0.1897 0.8024 0.4962
0.3963 0.7755 0.7518
0.6037 0.2245 0.2482
0.8103 0.1976 0.5038
0.8755 0.8753 0.0969
```